Below is an optimized crystal structure of V2AgPbO6, with properties calculated at the GGA+U level.

Unit cell a=7.8165 b=7.8165 c=6.0091 alpha=104.18 beta=104.18 gamma=88.11
Fractional positions:
V1 0.1096 0.2775 0.2195
V2 0.2775 0.1096 0.7195
V3 0.7225 0.8904 0.2805
V4 0.8904 0.7225 0.7805
Ag1 0.2310 0.7690 0.2500
Ag2 0.7690 0.2310 0.7500
Pb1 0.3807 0.6193 0.7500
Pb2 0.6193 0.3807 0.2500
O1 0.1142 0.6645 0.8665
O2 0.1346 0.1699 0.4625
O3 0.1699 0.1346 0.9625
O4 0.2546 0.4565 0.3239
O5 0.3355 0.8858 0.6335
O6 0.4565 0.2546 0.8239
O7 0.5435 0.7454 0.1761
O8 0.6645 0.1142 0.3665
O9 0.7454 0.5435 0.6761
O10 0.8301 0.8654 0.0375
O11 0.8654 0.8301 0.5375
O12 0.8858 0.3355 0.1335

Values from the calculation:
For the theoretical density, the calculation gives 4.94 g/cm3. Its raw total energy is -131.53 eV/cell. For the total magnetization, the calculation gives 0.100 μB/atom. As for the space-group type: C2/c.